No. 1
Entry from Alexandria: GaAgBi2 after structural relaxation (PBE-GGA).

Cell: 4.7859 4.7859 6.3300 Å, 67.79 67.79 60.00°
Sites, in units of the cell vectors:
Ga  0.4971  0.4971  0.5087
Ag  0.6654  0.6654  0.0039
Bi  0.0749  0.0749  0.7753
Bi  0.2626  0.2626  0.2121

Calculated total energy ... -13.1 eV/cell
Calculated formation energy ... 12 kJ/mol of atoms
Size of the total moment ... 0.00 μB/cell


No. 2
Entry from Alexandria: Ga4AgBi after structural relaxation (PBE-GGA).

Cell: 6.5932 6.3442 8.4952 Å, 111.93 125.05 90.00°
Sites, in units of the cell vectors:
Ga  0.6938  0.2964  0.5927
Ga  0.4999  0.2974  0.1877
Ga  0.0000  0.2402  0.0000
Ga  0.5001  0.1097  0.8123
Ga  0.3062  0.7036  0.4073
Ga  0.5001  0.7026  0.8123
Ga  0.0000  0.7598  0.0000
Ga  0.4999  0.8903  0.1877
Ag  0.7892  0.5771  0.1542
Ag  0.2108  0.4229  0.8458
Bi  0.1612  0.2180  0.4360
Bi  0.8388  0.7820  0.5640

Energy above the lowest structure with this stoichiometry ... 0.0 meV/atom
Calculated total energy ... -37.1 eV/cell
Calculated formation energy ... 5 kJ/mol of atoms
Size of the total moment ... 0.00 μB/cell


No. 3
Entry from Alexandria: GaAg3Bi after structural relaxation (PBE-GGA).

Cell: 5.4210 5.4210 5.4210 Å, 90.00 90.00 90.00°
Sites, in units of the cell vectors:
Ga  0.5000  0.5000  0.5000
Bi  0.0000  0.0000  0.0000
Ag  0.0000  0.5000  0.0000
Ag  0.0000  0.0000  0.5000
Ag  0.5000  0.0000  0.0000

Energy above the lowest structure with this stoichiometry ... 208.0 meV/atom
Calculated total energy ... -12.5 eV/cell
Calculated formation energy ... 56 kJ/mol of atoms
Size of the total moment ... 0.00 μB/cell


No. 4
Entry from Alexandria: GaAgBi2 after structural relaxation (PBE-GGA).

Cell: 3.4252 3.4252 8.7954 Å, 90.00 90.00 90.00°
Sites, in units of the cell vectors:
Ga  0.5000  0.5000  0.5000
Bi  0.0000  0.0000  0.7637
Bi  0.0000  0.0000  0.2363
Ag  0.5000  0.5000  0.0000

Calculated total energy ... -13.3 eV/cell
Calculated formation energy ... 9 kJ/mol of atoms
Size of the total moment ... 0.00 μB/cell


No. 5
Entry from Alexandria: Ga12Ag3Bi5 after structural relaxation (PBE-GGA).

Cell: 14.0569 14.0569 14.0569 Å, 109.47 109.47 109.47°
Sites, in units of the cell vectors:
Ag  0.7500  0.3750  0.1250
Ag  0.8750  0.7500  0.1250
Ag  0.3750  0.7500  0.6250
Ag  0.2500  0.1250  0.3750
Ag  0.8750  0.1250  0.2500
Ag  0.3750  0.6250  0.2500
Ag  0.6250  0.3750  0.7500
Ag  0.1250  0.8750  0.7500
Ag  0.7500  0.8750  0.6250
Ag  0.6250  0.2500  0.3750
Ag  0.1250  0.2500  0.8750
Ag  0.2500  0.6250  0.8750
Bi  0.1250  0.3750  0.2500
Bi  0.0000  0.5000  0.0000
Bi  0.0000  0.0000  0.0000
Bi  0.3750  0.2500  0.1250
Bi  0.5000  0.0000  0.5000
Bi  0.5000  0.5000  0.0000
Bi  0.1250  0.7500  0.3750
Bi  0.7500  0.1250  0.8750
Bi  0.7500  0.6250  0.3750
Bi  0.3750  0.1250  0.7500
Bi  0.6250  0.8750  0.2500
Bi  0.5000  0.5000  0.5000
Bi  0.5000  0.0000  0.0000
Bi  0.0000  0.0000  0.5000
Bi  0.2500  0.3750  0.6250
Bi  0.2500  0.8750  0.1250
Bi  0.0000  0.5000  0.5000
Bi  0.8750  0.2500  0.6250
Bi  0.6250  0.7500  0.8750
Bi  0.8750  0.6250  0.7500
Ga  0.7466  0.1416  0.0786
Ga  0.3319  0.5786  0.4370
Ga  0.9214  0.3584  0.2534
Ga  0.5786  0.2466  0.1416
Ga  0.6050  0.7466  0.6681
Ga  0.9214  0.5630  0.1681
Ga  0.3319  0.7534  0.3950
Ga  0.0630  0.8950  0.1416
Ga  0.5630  0.9214  0.6681
Ga  0.7466  0.6050  0.1681
Ga  0.7534  0.4214  0.3584
Ga  0.8319  0.9370  0.0786
Ga  0.1416  0.7466  0.5786
Ga  0.3584  0.4370  0.1050
Ga  0.1050  0.9370  0.3584
Ga  0.3950  0.1416  0.5630
Ga  0.1050  0.1681  0.2466
Ga  0.4214  0.6681  0.0630
Ga  0.8319  0.8950  0.2534
Ga  0.1416  0.3950  0.0630
Ga  0.3584  0.9214  0.7534
Ga  0.5630  0.6416  0.3950
Ga  0.9370  0.8319  0.5786
Ga  0.7534  0.3319  0.8950
Ga  0.4370  0.3584  0.6050
Ga  0.0630  0.1681  0.4214
Ga  0.2466  0.6681  0.1050
Ga  0.1681  0.1050  0.7466
Ga  0.6416  0.0786  0.2466
Ga  0.8584  0.6050  0.9370
Ga  0.5786  0.3319  0.9370
Ga  0.6050  0.8584  0.4370
Ga  0.8950  0.8319  0.7534
Ga  0.8950  0.0630  0.6416
Ga  0.8584  0.2534  0.4214
Ga  0.1681  0.0630  0.9214
Ga  0.6416  0.5630  0.8950
Ga  0.4370  0.0786  0.3319
Ga  0.2534  0.3950  0.8319
Ga  0.2466  0.5786  0.6416
Ga  0.9370  0.1050  0.8584
Ga  0.6681  0.2466  0.6050
Ga  0.4214  0.7534  0.8584
Ga  0.0786  0.4370  0.8319
Ga  0.3950  0.2534  0.3319
Ga  0.0786  0.6416  0.7466
Ga  0.6681  0.4214  0.5630
Ga  0.2534  0.8584  0.9214

Calculated total energy ... -246.2 eV/cell
Calculated formation energy ... 13 kJ/mol of atoms
Size of the total moment ... 0.00 μB/cell


No. 6
Entry from Alexandria: GaAg2Bi2 after structural relaxation (PBE-GGA).

Cell: 3.8808 3.8808 8.8481 Å, 77.33 77.33 90.00°
Sites, in units of the cell vectors:
Ga  0.0000  0.0000  0.0000
Bi  0.3932  0.3932  0.2136
Bi  0.6068  0.6068  0.7864
Ag  0.7500  0.2500  0.5000
Ag  0.2500  0.7500  0.5000

Energy above the lowest structure with this stoichiometry ... 0.0 meV/atom
Calculated total energy ... -15.8 eV/cell
Calculated formation energy ... 13 kJ/mol of atoms
Size of the total moment ... 0.00 μB/cell


No. 7
Entry from Alexandria: GaAg4Bi after structural relaxation (PBE-GGA).

Cell: 5.6346 5.6346 5.6346 Å, 60.00 60.00 60.00°
Sites, in units of the cell vectors:
Ga  0.0000  0.0000  0.0000
Bi  0.2500  0.2500  0.2500
Ag  0.6253  0.6253  0.1240
Ag  0.6253  0.1240  0.6253
Ag  0.6253  0.6253  0.6253
Ag  0.1240  0.6253  0.6253

Calculated total energy ... -17.7 eV/cell
Calculated formation energy ... 9 kJ/mol of atoms
Size of the total moment ... 0.00 μB/cell


No. 8
Entry from Alexandria: GaAg3Bi after structural relaxation (PBE-GGA).

Cell: 4.9227 4.9227 4.9227 Å, 90.00 90.00 90.00°
Sites, in units of the cell vectors:
Ga  0.0000  0.0000  0.0000
Bi  0.5000  0.5000  0.5000
Ag  0.0000  0.5000  0.0000
Ag  0.0000  0.0000  0.5000
Ag  0.5000  0.0000  0.0000

Energy above the lowest structure with this stoichiometry ... 0.0 meV/atom
Calculated total energy ... -13.6 eV/cell
Calculated formation energy ... 36 kJ/mol of atoms
Size of the total moment ... 0.00 μB/cell


No. 9
Entry from Alexandria: Ga4AgBi after structural relaxation (PBE-GGA).

Cell: 5.6800 5.6800 5.6800 Å, 60.00 60.00 60.00°
Sites, in units of the cell vectors:
Ga  0.6242  0.6242  0.1274
Ga  0.6242  0.1274  0.6242
Ga  0.6242  0.6242  0.6242
Ga  0.1274  0.6242  0.6242
Bi  0.0000  0.0000  0.0000
Ag  0.2500  0.2500  0.2500

Energy above the lowest structure with this stoichiometry ... 83.7 meV/atom
Calculated total energy ... -18.1 eV/cell
Calculated formation energy ... 13 kJ/mol of atoms
Size of the total moment ... 0.00 μB/cell


No. 10
Entry from Alexandria: GaAgHgBi after structural relaxation (PBE-GGA).

Cell: 5.1278 5.1278 5.1278 Å, 60.00 60.00 60.00°
Sites, in units of the cell vectors:
Ga  0.7500  0.7500  0.7500
Bi  0.5000  0.5000  0.5000
Ag  0.2500  0.2500  0.2500
Hg  0.0000  0.0000  0.0000

Calculated total energy ... -9.5 eV/cell
Calculated formation energy ... 13 kJ/mol of atoms
Size of the total moment ... 0.00 μB/cell


No. 11
Entry from Alexandria: GaAgBi2I after structural relaxation (PBE-GGA).

Cell: 5.4894 5.4894 6.1072 Å, 90.00 90.00 90.00°
Site moments in Bohr magnetons follow the coordinates.
Sites, in units of the cell vectors:
I  0.0000  0.0000  0.5000  0.06
Ga  0.5000  0.5000  0.5000  0.00
Bi  0.0000  0.5000  0.0000  0.17
Bi  0.5000  0.0000  0.0000  0.17
Ag  0.0000  0.0000  0.0000  0.02

Calculated total energy ... -12.7 eV/cell
Size of the total moment ... 0.65 μB/cell


No. 12
Entry from Alexandria: InGaAgBi after structural relaxation (PBE-GGA).

Cell: 5.1647 5.1647 5.1647 Å, 60.00 60.00 60.00°
Sites, in units of the cell vectors:
Ga  0.7500  0.7500  0.7500
Bi  0.0000  0.0000  0.0000
Ag  0.2500  0.2500  0.2500
In  0.5000  0.5000  0.5000

Calculated total energy ... -12.2 eV/cell
Calculated formation energy ... 6 kJ/mol of atoms
Size of the total moment ... 0.00 μB/cell